A relaxed AcPrCd4 crystal, computed with PBE.

Output
* ΔH_f (0 K): -2.003 eV/f.u.
* V: 168.0 Å³/cell
* M_tot: 0.00 Bohr magnetons per cell
* distance to the lowest polymorph of the same formula: 0 meV/atom

Cell: 5.1583 6.3159 6.3159 Å, 70.48 65.90 65.90°
Fractional coordinates of all 6 atoms:
Cd  0.8333  0.9230  0.4105
Cd  0.1667  0.5918  0.0748
Cd  0.1667  0.0748  0.5918
Cd  0.8333  0.4105  0.9230
Ac  0.5007  0.4993  0.4993
Pr  0.4994  0.0006  0.0006

---

A relaxed Ac2PrCd crystal, computed with PBE.

Output
* ΔH_f (0 K): 0.739 eV/f.u.
* V: 164.8 Å³/cell
* M_tot: 0.00 Bohr magnetons per cell
* distance to the lowest polymorph of the same formula: 323 meV/atom

Cell: 3.8177 3.8177 13.2450 Å, 81.71 81.71 60.00°
Fractional coordinates of all 4 atoms:
Ac  0.0884  0.0884  0.7347
Ac  0.9116  0.9116  0.2653
Pr  0.5000  0.5000  0.5000
Cd  0.0000  0.0000  0.0000